Computed, not measured: a relaxed structure of Cd2Ga at the GGA-PBE level of DFT.

Calculated values
- Space group: Fd-3m (227)
- Calculated formation energy: 0.1366 eV per atom

Cell lengths 5.8188, 5.8188, 5.8188 Å; angles 60.00, 60.00, 60.00 degrees
Last column: nearest neighbours and their distance in Å.
Sites, in units of the cell vectors:
Cd (0.6250, 0.1250, 0.6250)  6 Cd 2.91
Cd (0.6250, 0.6250, 0.6250)  6 Cd 2.91
Cd (0.6250, 0.6250, 0.1250)  6 Cd 2.91
Cd (0.1250, 0.6250, 0.6250)  6 Cd 2.91
Ga (0.0000, 0.0000, 0.0000)  12 Cd 3.41, 4 Ga 3.56
Ga (0.2500, 0.2500, 0.2500)  12 Cd 3.41, 4 Ga 3.56

Computed, not measured: a relaxed structure of La2Tb2Pm2Ho at the GGA-PBE level of DFT.

Calculated values
- Space group: C2/m (12)
- Calculated formation energy: 0.0246 eV per atom

Cell lengths 5.1483, 6.2926, 8.1509 Å; angles 97.49, 90.00, 114.15 degrees
Last column: nearest neighbours and their distance in Å.
Sites, in units of the cell vectors:
La (0.8577, 0.7154, 0.5754)  1 Ho 3.61, 5 Tb 3.62-3.68, 3 Pm 3.64-3.69, 3 La 3.65-3.66
La (0.1423, 0.2846, 0.4246)  1 Ho 3.61, 5 Tb 3.62-3.68, 3 Pm 3.64-3.69, 3 La 3.65-3.66
Pm (0.2849, 0.5699, 0.8606)  2 Pm 3.60, 4 Tb 3.60-3.64, 3 Ho 3.61-3.64, 3 La 3.64-3.69
Pm (0.7151, 0.4301, 0.1394)  2 Pm 3.60, 4 Tb 3.60-3.64, 3 Ho 3.61-3.64, 3 La 3.64-3.69
Ho (0.0000, 0.0000, 0.0000)  2 La 3.61, 6 Pm 3.61-3.64, 4 Tb 3.62
Tb (0.4297, 0.8594, 0.2830)  4 Pm 3.60-3.64, 5 La 3.62-3.68, 2 Ho 3.62, 1 Tb 3.67
Tb (0.5703, 0.1406, 0.7170)  4 Pm 3.60-3.64, 5 La 3.62-3.68, 2 Ho 3.62, 1 Tb 3.67

Computed, not measured: a relaxed structure of AcYAl2Zn2 at the GGA-PBE level of DFT.

Calculated values
- Space group: P-3m1 (164)
- Calculated formation energy: -0.4296 eV per atom

Cell lengths 4.5443, 4.5443, 7.9142 Å; angles 90.00, 90.00, 120.00 degrees
Last column: nearest neighbours and their distance in Å.
Sites, in units of the cell vectors:
Ac (0.0000, 0.0000, 0.0000)  6 Al 3.47, 6 Zn 3.53
Zn (0.3333, 0.6667, 0.7006)  3 Al 2.63
Zn (0.6667, 0.3333, 0.2994)  3 Al 2.63
Al (0.6667, 0.3333, 0.7124)  3 Zn 2.63
Al (0.3333, 0.6667, 0.2876)  3 Zn 2.63
Y (0.0000, 0.0000, 0.5000)  6 Zn 3.07, 6 Al 3.12

Please write out number 3 again, unchanged.
Computed, not measured: a relaxed structure of AcYAl2Zn2 at the GGA-PBE level of DFT.

Calculated values
- Space group: P-3m1 (164)
- Calculated formation energy: -0.4296 eV per atom

Cell lengths 4.5443, 4.5443, 7.9142 Å; angles 90.00, 90.00, 120.00 degrees
Last column: nearest neighbours and their distance in Å.
Sites, in units of the cell vectors:
Ac (0.0000, 0.0000, 0.0000)  6 Al 3.47, 6 Zn 3.53
Zn (0.3333, 0.6667, 0.7006)  3 Al 2.63
Zn (0.6667, 0.3333, 0.2994)  3 Al 2.63
Al (0.6667, 0.3333, 0.7124)  3 Zn 2.63
Al (0.3333, 0.6667, 0.2876)  3 Zn 2.63
Y (0.0000, 0.0000, 0.5000)  6 Zn 3.07, 6 Al 3.12